Record 1
This record from Alexandria describes crystalline NbCuSe2 at its relaxed geometry. The functional is GGA-PBEsol.

Cell and atoms, written as POSCAR:
```
NbCuSe2
1.0
3.513 0.000 0.000
-1.757 3.042 0.000
0.000 0.000 13.754
Nb Cu Se
2 2 4
direct
0.333 0.667 0.000
0.667 0.333 0.500
0.333 0.667 0.785
0.667 0.333 0.285
0.333 0.667 0.378
0.333 0.667 0.618
0.667 0.333 0.118
0.667 0.333 0.878
```

Summary:
total DFT energy (no corrections) = -6.33 eV/atom
ΔE_f (raw) = -0.613 eV per atom


Record 2
This record from Alexandria describes crystalline KP2I at its relaxed geometry. The functional is GGA-PBEsol.

Cell and atoms, written as POSCAR:
```
KP2I
1.0
7.241 0.000 0.000
0.000 7.241 0.000
0.000 0.000 7.241
K P I
4 8 4
direct
0.000 0.000 0.000
0.000 0.500 0.500
0.500 0.000 0.500
0.500 0.500 0.000
0.250 0.250 0.250
0.250 0.250 0.750
0.250 0.750 0.250
0.250 0.750 0.750
0.750 0.250 0.250
0.750 0.250 0.750
0.750 0.750 0.250
0.750 0.750 0.750
0.000 0.000 0.500
0.000 0.500 0.000
0.500 0.000 0.000
0.500 0.500 0.500
```

Summary:
relative energy among the computed polymorphs = 0.212 eV per atom
total DFT energy (no corrections) = -2.85 eV/atom
ΔE_f (raw) = 0.775 eV per atom